1.
LiTl2Ir: single point on PBEsol structure, SCAN.

Cell: 5.2907 5.2907 3.1239 Å, 103.72 103.72 108.07°
Fractional positions:
Li (0.0000, 0.0000, 0.0000)
Tl (0.0000, 0.5000, 0.5000)
Tl (0.5000, 0.0000, 0.5000)
Ir (0.5000, 0.5000, 0.0000)

Results
- total DFT energy (no corrections) (eV per atom) = -54.313
- energy of formation (eV/f.u.) = 0.95

---

2.
BaAg2P: single point on PBEsol structure, SCAN.

Cell: 3.4186 3.9320 6.7808 Å, 90.00 90.00 90.00°
Fractional positions:
Ba (0.0000, 0.0000, 0.0000)
Ag (0.5000, 0.5000, 0.3073)
Ag (0.5000, 0.5000, 0.6927)
P (0.0000, 0.0000, 0.5000)

Results
- total DFT energy (no corrections) (eV per atom) = -27.986
- energy of formation (eV/f.u.) = 0.74

---

3.
TiPd2: single point on PBEsol structure, SCAN.

Cell: 4.8414 4.8414 4.8414 Å, 143.75 138.20 56.50°
Fractional positions:
Ti (0.0000, 0.0000, 0.0000)
Pd (0.3413, 0.3413, 0.0000)
Pd (0.6587, 0.6587, 0.0000)

Results
- total DFT energy (no corrections) (eV per atom) = -27.902
- energy of formation (eV/f.u.) = -2.13

---

4.
IrSe2: single point on PBEsol structure, SCAN.

Cell: 12.4236 12.4236 12.4236 Å, 165.80 165.80 20.13°
Fractional positions:
Ir (0.3750, 0.6250, 0.7500)
Ir (0.6250, 0.3750, 0.2500)
Se (0.0627, 0.8127, 0.2500)
Se (0.1873, 0.9373, 0.2500)
Se (0.8127, 0.0627, 0.7500)
Se (0.9373, 0.1873, 0.7500)

Results
- formation energy (no corrections) (meV/atom) = 363
- total DFT energy (no corrections) (eV per atom) = -36.723

---

5.
NiC3Cl: single point on PBEsol structure, SCAN.

Cell: 3.7949 3.7949 3.7949 Å, 90.00 90.00 90.00°
Fractional positions:
Ni (0.0000, 0.0000, 0.0000)
C (0.0000, 0.0000, 0.5000)
C (0.0000, 0.5000, 0.0000)
C (0.5000, 0.0000, 0.0000)
Cl (0.5000, 0.5000, 0.5000)

Results
- energy relative to the lowest polymorph listed for this composition (eV/atom) = 0.0000
- formation energy (no corrections) (meV/atom) = 2583
- total DFT energy (no corrections) (eV per atom) = -8.307

---

6.
Tl2Ir2Se: single point on PBEsol structure, SCAN.

Cell: 5.2925 5.2925 5.2925 Å, 116.82 116.82 95.60°
Fractional positions:
Tl (0.2500, 0.7500, 0.5000)
Tl (0.7500, 0.2500, 0.5000)
Ir (0.1686, 0.1686, 0.0000)
Ir (0.8314, 0.8314, 0.0000)
Se (0.5000, 0.5000, 0.0000)

Results
- energy relative to the lowest polymorph listed for this composition (eV/atom) = 0.0330
- formation energy (no corrections) (meV/atom) = 549
- total DFT energy (no corrections) (eV per atom) = -60.850

---

7.
TiAs2W: single point on PBEsol structure, SCAN.

Cell: 4.4065 4.4065 4.4065 Å, 60.00 60.00 60.00°
Fractional positions:
Ti (0.0000, 0.0000, 0.0000)
As (0.2500, 0.2500, 0.2500)
As (0.7500, 0.7500, 0.7500)
W (0.5000, 0.5000, 0.5000)

Results
- total DFT energy (no corrections) (eV per atom) = -31.763
- energy of formation (eV/f.u.) = -0.95

---

8.
BaHN2F: single point on PBEsol structure, SCAN.

Cell: 3.4675 3.4675 5.0385 Å, 90.00 90.00 90.00°
Fractional positions:
Ba (0.0000, 0.0000, 0.0000)
H (0.5000, 0.5000, 0.5000)
N (0.0000, 0.5000, 0.5000)
N (0.5000, 0.0000, 0.5000)
F (0.5000, 0.5000, 0.0000)

Results
- total DFT energy (no corrections) (eV per atom) = -12.766

---

9.
Sr4IrW: single point on PBEsol structure, SCAN.

Cell: 6.2078 6.2078 6.2078 Å, 60.00 60.00 60.00°
Fractional positions:
Sr (0.1243, 0.1243, 0.1243)
Sr (0.1243, 0.1243, 0.6271)
Sr (0.1243, 0.6271, 0.1243)
Sr (0.6271, 0.1243, 0.1243)
Ir (0.7500, 0.7500, 0.7500)
W (0.5000, 0.5000, 0.5000)

Results
- total DFT energy (no corrections) (eV per atom) = -36.577
- energy of formation (eV/f.u.) = 10.43

---

10.
Mg2RuAu: single point on PBEsol structure, SCAN.

Cell: 4.5109 4.5109 4.5109 Å, 60.00 60.00 60.00°
Fractional positions:
Mg (0.0000, 0.0000, 0.0000)
Mg (0.2500, 0.2500, 0.2500)
Ru (0.5000, 0.5000, 0.5000)
Au (0.7500, 0.7500, 0.7500)

Results
- total DFT energy (no corrections) (eV per atom) = -28.594
- energy of formation (eV/f.u.) = -0.44

---

11.
Cs6Ho21S34Cl: single point on PBEsol structure, SCAN.

Cell: 12.8402 12.8402 12.8470 Å, 114.38 114.38 97.36°
Fractional positions:
Cs (0.0516, 0.8051, 0.7697)
Cs (0.1949, 0.9484, 0.2303)
Cs (0.2323, 0.2323, 0.0852)
Cs (0.7677, 0.7677, 0.9148)
Cs (0.8051, 0.0516, 0.7697)
Cs (0.9484, 0.1949, 0.2303)
Ho (0.0457, 0.4628, 0.7491)
Ho (0.0996, 0.9004, 0.5000)
Ho (0.1717, 0.5726, 0.1233)
Ho (0.2433, 0.2433, 0.7568)
Ho (0.2619, 0.4654, 0.6076)
Ho (0.3014, 0.6986, 0.5000)
Ho (0.3999, 0.6001, 0.0000)
Ho (0.4274, 0.8283, 0.8767)
Ho (0.4628, 0.0457, 0.7491)
Ho (0.4654, 0.2619, 0.6076)
Ho (0.5000, 0.5000, 0.5000)
Ho (0.5346, 0.7381, 0.3924)
Ho (0.5372, 0.9543, 0.2509)
Ho (0.5726, 0.1717, 0.1233)
Ho (0.6001, 0.3999, 0.0000)
Ho (0.6986, 0.3014, 0.5000)
Ho (0.7381, 0.5346, 0.3924)
Ho (0.7567, 0.7567, 0.2432)
Ho (0.8283, 0.4274, 0.8767)
Ho (0.9004, 0.0996, 0.5000)
Ho (0.9543, 0.5372, 0.2509)
S (0.0127, 0.6095, 0.9422)
S (0.0583, 0.0583, 0.6800)
S (0.0892, 0.2896, 0.5760)
S (0.1177, 0.5133, 0.4359)
S (0.1330, 0.7274, 0.3138)
S (0.2128, 0.4209, 0.9368)
S (0.2453, 0.6333, 0.8112)
S (0.2726, 0.8670, 0.6862)
S (0.2896, 0.0892, 0.5760)
S (0.3165, 0.3165, 0.4397)
S (0.3484, 0.5490, 0.3181)
S (0.3667, 0.7547, 0.1888)
S (0.3905, 0.9873, 0.0578)
S (0.4209, 0.2128, 0.9368)
S (0.4263, 0.4263, 0.8076)
S (0.4510, 0.6516, 0.6819)
S (0.4867, 0.8823, 0.5641)
S (0.5133, 0.1177, 0.4359)
S (0.5490, 0.3484, 0.3181)
S (0.5737, 0.5737, 0.1924)
S (0.5791, 0.7872, 0.0632)
S (0.6095, 0.0127, 0.9422)
S (0.6333, 0.2453, 0.8112)
S (0.6516, 0.4510, 0.6819)
S (0.6835, 0.6835, 0.5603)
S (0.7104, 0.9108, 0.4240)
S (0.7274, 0.1330, 0.3138)
S (0.7547, 0.3667, 0.1888)
S (0.7872, 0.5791, 0.0632)
S (0.8670, 0.2726, 0.6862)
S (0.8823, 0.4867, 0.5641)
S (0.9108, 0.7104, 0.4240)
S (0.9417, 0.9417, 0.3200)
S (0.9873, 0.3905, 0.0578)
Cl (0.0000, 0.0000, 0.0000)

Results
- formation energy (no corrections) (meV/atom) = -2313
- total DFT energy (no corrections) (eV per atom) = -27.973

---

12.
LaPtRh3: single point on PBEsol structure, SCAN.

Cell: 4.7546 4.7546 4.7546 Å, 90.00 90.00 90.00°
Fractional positions:
La (0.0000, 0.0000, 0.0000)
Pt (0.5000, 0.5000, 0.5000)
Rh (0.0000, 0.5000, 0.5000)
Rh (0.5000, 0.0000, 0.5000)
Rh (0.5000, 0.5000, 0.0000)

Results
- energy relative to the lowest polymorph listed for this composition (eV/atom) = 0.0000
- total DFT energy (no corrections) (eV per atom) = -42.559
- energy of formation (eV/f.u.) = 1.82